Record 1
Below is a relaxed Co2RuPt crystal, with properties calculated at the PBE level. Values from VASP.

```
&SYSTEM
  ibrav = 0, nat = 4, ntyp = 3
/
ATOMIC_SPECIES
Co 58.93 Co.upf
Ru 101.07 Ru.upf
Pt 195.08 Pt.upf
CELL_PARAMETERS angstrom
4.308 -1.326 0.000
4.308 1.326 0.000
-0.812 0.000 4.593
ATOMIC_POSITIONS crystal
Co 0.248 0.248 0.235
Co 0.752 0.752 0.765
Ru 0.500 0.500 0.000
Pt 0.000 0.000 0.500
```

## Properties
The space group is C2/m. The energy relative to the elements comes out at 0.0808 eV/atom. For the offset from the most stable computed form, the calculation gives 0.06 eV/f.u. As for the magnetization: 3.74 μB per formula unit.

Record 2
Below is a relaxed Sm3Zn2Cd2 crystal, with properties calculated at the PBE level. Values from VASP.

```
&SYSTEM
  ibrav = 0, nat = 7, ntyp = 3
/
ATOMIC_SPECIES
Sm 150.36 Sm.upf
Zn 65.41 Zn.upf
Cd 112.41 Cd.upf
CELL_PARAMETERS angstrom
4.557 0.000 0.000
2.264 5.531 0.000
0.025 1.028 6.949
ATOMIC_POSITIONS crystal
Sm 0.000 0.000 0.000
Sm 0.363 0.273 0.638
Sm 0.637 0.727 0.362
Zn 0.090 0.818 0.628
Zn 0.910 0.182 0.372
Cd 0.312 0.378 0.145
Cd 0.688 0.622 0.855
```

## Properties
The space group is P-1. The energy relative to the elements comes out at -0.2466 eV/atom. As for the magnetization: 0.00 μB per formula unit.